{
  "formula": "YAlCoRu",
  "functional": "GGA-PBE",
  "state": "optimized geometry",
  "spacegroup": "F-43m (216)",
  "mass_density_g_cm3": 7.20,
  "energy_ev_per_atom": -6.935,
  "e_form_mev_per_atom": -288.0,
  "lattice_angstrom": [[0.000, 3.169, 3.169], [3.169, 0.000, 3.169], [3.169, 3.169, 0.000]],
  "species": ["Y", "Al", "Co", "Ru"],
  "frac_coords": [[0.000, 0.000, 0.000], [0.500, 0.500, 0.500], [0.750, 0.750, 0.750], [0.250, 0.250, 0.250]]
}

{
  "formula": "AcGaNiSb",
  "functional": "GGA-PBE",
  "state": "optimized geometry",
  "spacegroup": "F-43m (216)",
  "e_form_raw_ev_per_atom": -0.25,
  "mass_density_g_cm3": 8.56,
  "energy_ev_per_atom": -4.512,
  "lattice_angstrom": [[0.000, 3.590, 3.590], [3.590, 0.000, 3.590], [3.590, 3.590, 0.000]],
  "species": ["Ac", "Ga", "Ni", "Sb"],
  "frac_coords": [[0.000, 0.000, 0.000], [0.250, 0.250, 0.250], [0.750, 0.750, 0.750], [0.500, 0.500, 0.500]]
}

{
  "formula": "Rb3U2CdTe6",
  "functional": "GGA-PBE",
  "state": "optimized geometry",
  "spacegroup": "C2/m (12)",
  "e_form_raw_ev_per_atom": -0.78,
  "mass_density_g_cm3": 5.80,
  "energy_ev_per_atom": -4.551,
  "lattice_angstrom": [[3.952, -6.846, 0.000], [3.952, 6.846, 0.000], [-2.629, 0.000, 8.522]],
  "species": ["Rb", "Rb", "Rb", "U", "U", "Cd", "Te", "Te", "Te", "Te", "Te", "Te"],
  "frac_coords": [[0.000, 0.000, 0.000], [0.335, 0.665, 0.000], [0.665, 0.335, 0.000], [0.167, 0.833, 0.500], [0.833, 0.167, 0.500], [0.500, 0.500, 0.500], [0.098, 0.434, 0.302], [0.231, 0.231, 0.697], [0.434, 0.098, 0.302], [0.566, 0.902, 0.698], [0.769, 0.769, 0.303], [0.902, 0.566, 0.698]]
}

{
  "formula": "Pm2ScTl2",
  "functional": "GGA-PBE",
  "state": "optimized geometry",
  "spacegroup": "C2/m (12)",
  "mass_density_g_cm3": 8.40,
  "energy_ev_per_atom": -4.389,
  "e_form_mev_per_atom": -276.1,
  "lattice_angstrom": [[6.203, -2.424, 0.000], [6.203, 2.424, 0.000], [-5.194, 0.000, 9.780]],
  "species": ["Pm", "Pm", "Pm", "Pm", "Sc", "Sc", "Tl", "Tl", "Tl", "Tl"],
  "frac_coords": [[0.002, 0.002, 0.170], [0.182, 0.182, 0.590], [0.818, 0.818, 0.410], [0.998, 0.998, 0.830], [0.287, 0.287, 0.156], [0.713, 0.713, 0.844], [0.357, 0.357, 0.926], [0.461, 0.461, 0.614], [0.539, 0.539, 0.386], [0.643, 0.643, 0.074]]
}

{
  "formula": "NiSbTe2P",
  "functional": "GGA-PBE",
  "state": "optimized geometry",
  "spacegroup": "P4/mmm (123)",
  "relative_energy_ev_per_fu": 1.75,
  "e_form_raw_ev_per_atom": 0.96,
  "mass_density_g_cm3": 5.59,
  "energy_ev_per_atom": -3.360,
  "lattice_angstrom": [[5.272, 0.000, 0.000], [0.000, 5.272, 0.000], [0.000, 0.000, 4.989]],
  "species": ["Ni", "Sb", "Te", "Te", "P"],
  "frac_coords": [[0.000, 0.000, 0.000], [0.500, 0.500, 0.000], [0.000, 0.500, 0.500], [0.500, 0.000, 0.500], [0.500, 0.500, 0.500]]
}

{
  "formula": "Li3CrTc2N6",
  "functional": "GGA-PBE",
  "state": "optimized geometry",
  "spacegroup": "C2/m (12)",
  "e_form_raw_ev_per_atom": -0.26,
  "mass_density_g_cm3": 5.28,
  "energy_ev_per_atom": -7.427,
  "lattice_angstrom": [[2.450, -4.344, 0.000], [2.450, 4.344, 0.000], [-1.582, 0.000, 5.208]],
  "species": ["Li", "Li", "Li", "Cr", "Tc", "Tc", "N", "N", "N", "N", "N", "N"],
  "frac_coords": [[0.000, 0.000, 0.000], [0.332, 0.668, 0.000], [0.668, 0.332, 0.000], [0.500, 0.500, 0.500], [0.147, 0.853, 0.500], [0.853, 0.147, 0.500], [0.104, 0.427, 0.281], [0.259, 0.259, 0.747], [0.427, 0.104, 0.281], [0.573, 0.896, 0.719], [0.741, 0.741, 0.253], [0.896, 0.573, 0.719]]
}

{
  "formula": "MnWBr2",
  "functional": "GGA-PBE",
  "state": "optimized geometry",
  "spacegroup": "C2/m (12)",
  "relative_energy_ev_per_fu": 3.17,
  "e_form_raw_ev_per_atom": 0.95,
  "mass_density_g_cm3": 8.28,
  "energy_ev_per_atom": -5.418,
  "lattice_angstrom": [[3.076, -4.441, 0.000], [3.076, 4.441, 0.000], [-1.370, 0.000, 2.925]],
  "species": ["Mn", "W", "Br", "Br"],
  "frac_coords": [[0.000, 0.000, 0.000], [0.500, 0.500, 0.000], [0.000, 0.500, 0.000], [0.500, 0.000, 0.000]]
}

{
  "formula": "AlSb2H",
  "functional": "GGA-PBE",
  "state": "optimized geometry",
  "spacegroup": "Fm-3m (225)",
  "relative_energy_ev_per_fu": 0.18,
  "mass_density_g_cm3": 5.89,
  "energy_ev_per_atom": -3.375,
  "lattice_angstrom": [[0.000, 3.371, 3.371], [3.371, 0.000, 3.371], [3.371, 3.371, 0.000]],
  "species": ["Al", "Sb", "Sb", "H"],
  "frac_coords": [[0.000, 0.000, 0.000], [0.250, 0.250, 0.250], [0.750, 0.750, 0.750], [0.500, 0.500, 0.500]]
}

{
  "formula": "UAlSbO6",
  "functional": "GGA-PBE",
  "state": "optimized geometry",
  "spacegroup": "P-31c (163)",
  "e_form_raw_ev_per_atom": -2.44,
  "mass_density_g_cm3": 6.74,
  "energy_ev_per_atom": -7.876,
  "lattice_angstrom": [[5.324, 0.000, 0.000], [-2.662, 4.611, 0.000], [0.000, 0.000, 9.694]],
  "species": ["U", "U", "Al", "Al", "Sb", "Sb", "O", "O", "O", "O", "O", "O", "O", "O", "O", "O", "O", "O"],
  "frac_coords": [[0.333, 0.667, 0.250], [0.667, 0.333, 0.750], [0.333, 0.667, 0.750], [0.667, 0.333, 0.250], [0.000, 0.000, 0.000], [0.000, 0.000, 0.500], [0.022, 0.368, 0.640], [0.022, 0.654, 0.860], [0.346, 0.368, 0.860], [0.346, 0.978, 0.640], [0.368, 0.022, 0.140], [0.368, 0.346, 0.360], [0.632, 0.654, 0.640], [0.632, 0.978, 0.860], [0.654, 0.022, 0.360], [0.654, 0.632, 0.140], [0.978, 0.346, 0.140], [0.978, 0.632, 0.360]]
}

{
  "formula": "Dy8Cu2Ag",
  "functional": "GGA-PBE",
  "state": "optimized geometry",
  "spacegroup": "C2/m (12)",
  "mass_density_g_cm3": 8.75,
  "energy_ev_per_atom": -4.467,
  "e_form_mev_per_atom": -116.2,
  "lattice_angstrom": [[8.805, -2.541, 0.000], [8.805, 2.541, 0.000], [-2.066, 0.000, 6.512]],
  "species": ["Dy", "Dy", "Dy", "Dy", "Dy", "Dy", "Dy", "Dy", "Cu", "Cu", "Ag"],
  "frac_coords": [[0.033, 0.033, 0.278], [0.198, 0.198, 0.831], [0.326, 0.326, 0.513], [0.406, 0.406, 0.032], [0.594, 0.594, 0.968], [0.674, 0.674, 0.487], [0.802, 0.802, 0.169], [0.967, 0.967, 0.722], [0.181, 0.181, 0.221], [0.819, 0.819, 0.779], [0.500, 0.500, 0.500]]
}

{
  "formula": "SrTl2Au",
  "functional": "GGA-PBE",
  "state": "optimized geometry",
  "spacegroup": "Pm (6)",
  "mass_density_g_cm3": 9.48,
  "energy_ev_per_atom": -2.777,
  "e_form_mev_per_atom": -354.1,
  "lattice_angstrom": [[4.159, 0.000, 0.000], [0.000, 4.438, 0.000], [-2.025, 0.000, 6.579]],
  "species": ["Sr", "Tl", "Tl", "Au"],
  "frac_coords": [[0.000, 0.000, 0.000], [0.271, 0.000, 0.541], [0.666, 0.500, 0.330], [0.425, 0.500, 0.846]]
}